Record 1
Here is a relaxed structure of TaGa2GeSe from the Alexandria database. Energies are from PBE.

Properties
Energy in eV per atom: -4.415
Total moment in μB/cell: 1.47
E_form (uncorrected) in eV per atom: 0.786

a = 4.804 Å, b = 4.804 Å, c = 5.053 Å
α = 90.00°, β = 90.00°, γ = 90.00°
Space group P4/mmm (No. 123)
Symmetry-distinct sites (fractional):
Ta 0.000 0.000 0.000 x1
Ga 0.000 0.500 0.500 x2
Ge 0.000 0.000 0.500 x1
Se 0.500 0.500 0.000 x1


Record 2
Here is a relaxed structure of Tb4GaGeSe2 from the Alexandria database. Energies are from PBE.

Properties
Energy in eV per atom: -5.419
Total moment in μB/cell: 0.00
E_form (uncorrected) in eV per atom: -1.277

a = 5.847 Å, b = 5.847 Å, c = 11.750 Å
α = 90.00°, β = 90.00°, γ = 90.00°
Space group I-4m2 (No. 119)
Symmetry-distinct sites (fractional):
Tb 0.000 0.000 0.248 x4
Tb 0.000 0.500 0.001 x4
Ga 0.000 0.000 0.500 x2
Ge 0.000 0.500 0.250 x2
Se 0.000 0.000 0.000 x2
Se 0.000 0.500 0.750 x2


Record 3
Here is a relaxed structure of Tb8GaGe3Se4 from the Alexandria database. Energies are from PBE.

Properties
Energy in eV per atom: -5.569
Total moment in μB/cell: 0.00
E_form (uncorrected) in eV per atom: -1.328

a = 8.2249 Å, b = 8.2249 Å, c = 20.7071 Å
α = 90.00°, β = 90.00°, γ = 120.00°
Space group R-3m (No. 166, hexagonal axes)
Symmetry-distinct sites (fractional):
Tb 0.0000 0.0000 0.2455 x6
Tb 0.0031 0.5016 0.7519 x18
Ga 0.0000 0.0000 0.5000 x3
Ge 0.0000 0.5000 0.5000 x9
Se 0.0000 0.0000 0.0000 x3
Se 0.0000 0.5000 0.0000 x9


Record 4
Here is a relaxed structure of Tb6Ga2GeSe3 from the Alexandria database. Energies are from PBE.

Properties
Energy in eV per atom: -5.346
Total moment in μB/cell: 0.00
E_form (uncorrected) in eV per atom: -1.270

a = 18.933 Å, b = 4.128 Å, c = 8.290 Å
α = 90.00°, β = 113.11°, γ = 90.00°
Space group C2/m (No. 12)
Symmetry-distinct sites (fractional):
Tb 0.009 0.000 0.247 x4
Tb 0.158 0.500 0.646 x4
Tb 0.165 0.500 0.140 x4
Ga 0.199 0.000 0.432 x4
Ge 0.000 0.500 0.000 x2
Se 0.000 0.500 0.500 x2
Se 0.163 0.000 0.888 x4


Record 5
Here is a relaxed structure of Th6GaGe2Se3 from the Alexandria database. Energies are from PBE.

Properties
Energy in eV per atom: -6.742
Total moment in μB/cell: 0.00
E_form (uncorrected) in eV per atom: -1.139

a = 18.530 Å, b = 4.303 Å, c = 8.485 Å
α = 90.00°, β = 101.90°, γ = 90.00°
Space group C2/m (No. 12)
Symmetry-distinct sites (fractional):
Th 0.002 0.000 0.245 x4
Th 0.164 0.500 0.088 x4
Th 0.168 0.500 0.578 x4
Ga 0.000 0.500 0.000 x2
Ge 0.167 0.000 0.334 x4
Se 0.000 0.500 0.500 x2
Se 0.167 0.000 0.833 x4


Record 6
Here is a relaxed structure of TlGa2GeSe6 from the Alexandria database. Energies are from PBE.

Properties
Energy in eV per atom: -3.701
Total moment in μB/cell: 0.00
E_form (uncorrected) in eV per atom: -0.307

a = 13.858 Å, b = 12.988 Å, c = 8.257 Å
α = 90.00°, β = 122.13°, γ = 90.00°
Space group C2/c (No. 15)
Symmetry-distinct sites (fractional):
Tl 0.000 0.163 0.250 x4
Ga 0.183 0.425 0.054 x8
Ge 0.000 0.164 0.750 x4
Se 0.112 0.455 0.293 x8
Se 0.120 0.054 0.686 x8
Se 0.129 0.246 0.047 x8


Record 7
Here is a relaxed structure of TlGa2GeSe from the Alexandria database. Energies are from PBE.

Properties
Energy in eV per atom: -3.143
Total moment in μB/cell: 0.00
E_form (uncorrected) in eV per atom: 0.161

a = 5.050 Å, b = 5.050 Å, c = 5.386 Å
α = 90.00°, β = 90.00°, γ = 90.00°
Space group P4/mmm (No. 123)
Symmetry-distinct sites (fractional):
Tl 0.000 0.000 0.000 x1
Ga 0.000 0.500 0.500 x2
Ge 0.500 0.500 0.500 x1
Se 0.500 0.500 0.000 x1


Record 8
Here is a relaxed structure of TlGaGeSe3 from the Alexandria database. Energies are from PBE.

Properties
Energy in eV per atom: -3.813
Total moment in μB/cell: 0.00
E_form (uncorrected) in eV per atom: -0.402

a = 8.949 Å, b = 4.096 Å, c = 10.087 Å
α = 90.00°, β = 107.12°, γ = 90.00°
Space group P2_1/m (No. 11)
Symmetry-distinct sites (fractional):
Tl 0.217 0.250 0.215 x2
Ga 0.081 0.250 0.631 x2
Ge 0.346 0.750 0.886 x2
Se 0.102 0.250 0.869 x2
Se 0.188 0.750 0.541 x2
Se 0.452 0.750 0.147 x2